No. 1
Pm2CdPt2 | PBE-GGA | optimized geometry

a = 7.8324 Å, b = 7.8324 Å, c = 3.8538 Å
α = 90.00°, β = 90.00°, γ = 90.00°
Space group P4/mbm (No. 127)
Unique sites:
Pm 0.1699 0.3301 0.0000 x4
Cd 0.0000 0.0000 0.5000 x2
Pt 0.1303 0.6303 0.5000 x4

**Energy of formation from the pure elements**: -94.9 kJ/mol of atoms

---

No. 2
PmCd2Pt | PBE-GGA | optimized geometry

a = 4.1964 Å, b = 10.0723 Å, c = 8.6288 Å
α = 90.00°, β = 90.00°, γ = 90.00°
Space group Cmcm (No. 63)
Unique sites:
Pm 0.0000 0.0664 0.2500 x4
Cd 0.0000 0.3584 0.0467 x8
Pt 0.0000 0.2262 0.7500 x4

**Energy of formation from the pure elements**: -63.1 kJ/mol of atoms

---

No. 3
PmCdSb | PBE-GGA | optimized geometry

a = 7.3186 Å, b = 7.3186 Å, c = 7.3186 Å
α = 90.00°, β = 90.00°, γ = 90.00°
Space group F-43m (No. 216)
Unique sites:
Pm 0.0000 0.0000 0.0000 x4
Cd 0.2500 0.2500 0.7500 x4
Sb 0.2500 0.2500 0.2500 x4

**E above lowest polymorph**: 0.00 kcal/mol of atoms

---

No. 4
PmCdSb | PBE-GGA | optimized geometry

a = 7.1674 Å, b = 7.1674 Å, c = 7.1674 Å
α = 90.00°, β = 90.00°, γ = 90.00°
Space group F-43m (No. 216)
Unique sites:
Pm 0.0000 0.0000 0.0000 x4
Cd 0.0000 0.0000 0.5000 x4
Sb 0.2500 0.2500 0.7500 x4

**E above lowest polymorph**: 2.76 kcal/mol of atoms

---

No. 5
Pm2CdSb2 | PBE-GGA | optimized geometry

a = 4.4157 Å, b = 4.4157 Å, c = 8.0038 Å
α = 90.00°, β = 90.00°, γ = 90.00°
Space group P4/mmm (No. 123)
Unique sites:
Pm 0.0000 0.0000 0.2202 x2
Cd 0.5000 0.5000 0.0000 x1
Sb 0.0000 0.5000 0.5000 x2

**Total DFT energy (no corrections)**: -20.75 eV for the cell shown

---

No. 6
Pm2CdSb4 | PBE-GGA | optimized geometry

a = 4.3513 Å, b = 4.3513 Å, c = 10.8065 Å
α = 90.00°, β = 90.00°, γ = 90.00°
Space group P-4m2 (No. 115)
Unique sites:
Pm 0.0000 0.5000 0.2348 x2
Cd 0.0000 0.0000 0.5000 x1
Sb 0.0000 0.0000 0.0000 x1
Sb 0.0000 0.5000 0.6754 x2
Sb 0.5000 0.5000 0.0000 x1

**Total DFT energy (no corrections)**: -31.79 eV for the cell shown

---

No. 7
PmScCd | PBE-GGA | optimized geometry

a = 6.9873 Å, b = 6.9873 Å, c = 6.9873 Å
α = 90.00°, β = 90.00°, γ = 90.00°
Space group F-43m (No. 216)
Unique sites:
Pm 0.0000 0.0000 0.0000 x4
Sc 0.2500 0.2500 0.7500 x4
Cd 0.0000 0.0000 0.5000 x4

**Energy of formation from the pure elements**: 37.7 kJ/mol of atoms
**E above lowest polymorph**: 0.00 kcal/mol of atoms

---

No. 8
PmScCd | PBE-GGA | optimized geometry

a = 7.1219 Å, b = 7.1219 Å, c = 7.1219 Å
α = 90.00°, β = 90.00°, γ = 90.00°
Space group F-43m (No. 216)
Unique sites:
Pm 0.0000 0.0000 0.0000 x4
Sc 0.2500 0.2500 0.2500 x4
Cd 0.2500 0.2500 0.7500 x4

**Energy of formation from the pure elements**: 52.2 kJ/mol of atoms
**E above lowest polymorph**: 3.47 kcal/mol of atoms

---

No. 9
Pm2CdSi2 | PBE-GGA | optimized geometry

a = 7.3269 Å, b = 7.3269 Å, c = 4.2998 Å
α = 90.00°, β = 90.00°, γ = 90.00°
Space group P4/mbm (No. 127)
Unique sites:
Pm 0.1797 0.3203 0.0000 x4
Cd 0.0000 0.0000 0.5000 x2
Si 0.1148 0.6148 0.5000 x4

**Total DFT energy (no corrections)**: -49.17 eV for the cell shown

---

No. 10
PmCdSi | PBE-GGA | optimized geometry

a = 6.9435 Å, b = 6.9435 Å, c = 6.9435 Å
α = 90.00°, β = 90.00°, γ = 90.00°
Space group F-43m (No. 216)
Unique sites:
Pm 0.0000 0.0000 0.0000 x4
Cd 0.2500 0.2500 0.7500 x4
Si 0.2500 0.2500 0.2500 x4

**E above lowest polymorph**: 9.10 kcal/mol of atoms

---

No. 11
PmCdSi | PBE-GGA | optimized geometry

a = 6.6784 Å, b = 6.6784 Å, c = 6.6784 Å
α = 90.00°, β = 90.00°, γ = 90.00°
Space group F-43m (No. 216)
Unique sites:
Pm 0.0000 0.0000 0.0000 x4
Cd 0.0000 0.0000 0.5000 x4
Si 0.2500 0.2500 0.7500 x4

**E above lowest polymorph**: 0.00 kcal/mol of atoms

---

No. 12
PmSmCd | PBE-GGA | optimized geometry

a = 7.2189 Å, b = 7.2189 Å, c = 7.2189 Å
α = 90.00°, β = 90.00°, γ = 90.00°
Space group F-43m (No. 216)
Unique sites:
Pm 0.0000 0.0000 0.0000 x4
Sm 0.2500 0.2500 0.7500 x4
Cd 0.0000 0.0000 0.5000 x4

**Energy of formation from the pure elements**: 41.2 kJ/mol of atoms

---

No. 13
PmSmCd2 | PBE-GGA | optimized geometry

a = 7.6187 Å, b = 7.6187 Å, c = 7.6187 Å
α = 90.00°, β = 90.00°, γ = 90.00°
Space group Fm-3m (No. 225)
Unique sites:
Pm 0.0000 0.0000 0.0000 x4
Sm 0.0000 0.0000 0.5000 x4
Cd 0.2500 0.2500 0.2500 x8

**Energy of formation from the pure elements**: -31.9 kJ/mol of atoms

---

No. 14
PmCdSn2 | PBE-GGA | optimized geometry

a = 4.7945 Å, b = 4.7945 Å, c = 4.5015 Å
α = 90.00°, β = 90.00°, γ = 90.00°
Space group P4/mmm (No. 123)
Unique sites:
Pm 0.0000 0.0000 0.0000 x1
Cd 0.5000 0.5000 0.0000 x1
Sn 0.0000 0.5000 0.5000 x2

**Total DFT energy (no corrections)**: -15.65 eV for the cell shown

---

No. 15
Pm2Cd3Sn3 | PBE-GGA | optimized geometry

a = 4.6597 Å, b = 4.8169 Å, c = 9.0273 Å
α = 90.00°, β = 90.00°, γ = 90.00°
Space group Pmmm (No. 47)
Unique sites:
Pm 0.0000 0.0000 0.2448 x2
Cd 0.0000 0.5000 0.5000 x1
Cd 0.5000 0.5000 0.2594 x2
Sn 0.0000 0.5000 0.0000 x1
Sn 0.5000 0.0000 0.0000 x1
Sn 0.5000 0.0000 0.5000 x1

**Total DFT energy (no corrections)**: -28.07 eV for the cell shown

---

No. 16
PmCdSn | PBE-GGA | optimized geometry

a = 7.0921 Å, b = 7.0921 Å, c = 7.0921 Å
α = 90.00°, β = 90.00°, γ = 90.00°
Space group F-43m (No. 216)
Unique sites:
Pm 0.0000 0.0000 0.0000 x4
Cd 0.0000 0.0000 0.5000 x4
Sn 0.2500 0.2500 0.7500 x4

**Total DFT energy (no corrections)**: -42.39 eV for the cell shown

---

No. 17
PmTaCd | PBE-GGA | optimized geometry

a = 7.0288 Å, b = 7.0288 Å, c = 7.0288 Å
α = 90.00°, β = 90.00°, γ = 90.00°
Space group F-43m (No. 216)
Unique sites:
Pm 0.0000 0.0000 0.0000 x4
Ta 0.2500 0.2500 0.2500 x4
Cd 0.2500 0.2500 0.7500 x4

**Energy of formation from the pure elements**: 126.6 kJ/mol of atoms

---

No. 18
TbPmCd | PBE-GGA | optimized geometry

a = 7.2606 Å, b = 7.2606 Å, c = 7.2606 Å
α = 90.00°, β = 90.00°, γ = 90.00°
Space group F-43m (No. 216)
Unique sites:
Tb 0.0000 0.0000 0.0000 x4
Pm 0.2500 0.2500 0.7500 x4
Cd 0.0000 0.0000 0.5000 x4

**Energy of formation from the pure elements**: 46.4 kJ/mol of atoms

---

No. 19
PmCdTc | PBE-GGA | optimized geometry

a = 6.7965 Å, b = 6.7965 Å, c = 6.7965 Å
α = 90.00°, β = 90.00°, γ = 90.00°
Space group F-43m (No. 216)
Unique sites:
Pm 0.0000 0.0000 0.0000 x4
Cd 0.2500 0.2500 0.7500 x4
Tc 0.2500 0.2500 0.2500 x4

**Energy of formation from the pure elements**: 105.7 kJ/mol of atoms

---

No. 20
PmThCd | PBE-GGA | optimized geometry

a = 7.2420 Å, b = 7.2420 Å, c = 7.2420 Å
α = 90.00°, β = 90.00°, γ = 90.00°
Space group F-43m (No. 216)
Unique sites:
Pm 0.0000 0.0000 0.0000 x4
Th 0.2500 0.2500 0.2500 x4
Cd 0.2500 0.2500 0.7500 x4

**Energy of formation from the pure elements**: 63.5 kJ/mol of atoms